Below is an optimized crystal structure of ScBSCl2, with properties calculated at the PBE-GGA level. Values from VASP.

```
&SYSTEM
  ibrav = 0, nat = 5, ntyp = 4
/
ATOMIC_SPECIES
Sc 44.96 Sc.upf
B 10.81 B.upf
S 32.06 S.upf
Cl 35.45 Cl.upf
CELL_PARAMETERS angstrom
4.934 0.000 0.000
0.000 4.934 0.000
0.000 0.000 5.032
ATOMIC_POSITIONS crystal
Sc 0.000 0.000 0.000
B 0.500 0.500 0.500
S 0.000 0.000 0.500
Cl 0.000 0.500 0.000
Cl 0.500 0.000 0.000
```

Calculated values
- offset from the most stable computed form (kJ per mole of atoms) = 0.00
- space group = No. 123
- V (Å³/cell) = 122.5
- formation energy without anion corrections (meV/atom) = -237